K2HgSb | GGA-PBE | optimized geometry

The space group is Imm2 (No. 44) and the conventional cell measures 3.9966, 5.8828 and 12.2846 Å, with angles of 90.00, 90.00 and 90.00 degrees. The inequivalent atoms are K at (0.0000, 0.0000, 0.0000), K at (0.0000, 0.5000, 0.2006), Hg at (0.0000, 0.0000, 0.4526) and Sb at (0.0000, 0.5000, 0.7628).

The calculation puts the magnetic moment at 0.000 μB/f.u. The energy above the lowest structure with this stoichiometry comes out at 37 meV/atom. For the formation energy (no corrections), the calculation gives -1.2 eV/f.u.